LaSbCl2, relaxed, DFT GGA-PBE; energy above the most stable polymorph in this dataset = 277.8 meV/atom; ΔE_f (raw) = -4.624 eV per formula unit
1.0
-4.2479 -2.0044 -0.1714
0.9712 -2.3939 3.9265
-1.7652 3.5200 2.5826
Sb Cl La
1 2 1
Direct
0.0000 0.5000 0.5000
0.5000 0.5000 0.0000
0.0000 0.0000 0.0000
0.5000 0.0000 0.5000

=====

Mg3SbN, relaxed, DFT GGA-PBE; ΔE_f (raw) = -2.179 eV per formula unit
1.0
6.9331 0.0400 -0.0628
1.5573 5.4491 -0.0518
-1.5578 2.2768 4.9510
Mg Sb N
6 2 2
Direct
0.4536 0.2601 0.9990
0.2327 0.8688 0.8905
0.4534 0.7601 0.4989
0.6738 0.1518 0.6072
0.2327 0.3688 0.3905
0.6738 0.6518 0.1071
0.9532 0.7613 0.4979
0.9533 0.2613 0.9979
0.4533 0.0104 0.7489
0.4533 0.5104 0.2489

=====

YMgB2P, relaxed, DFT GGA-PBE; DFT formation energy = 10.064 eV/f.u.
1.0
-0.5454 -1.6973 4.2487
1.8058 -5.3136 -1.8909
4.3541 1.1214 1.0069
B Mg Y P
2 1 1 1
Direct
0.5000 0.0000 0.0000
0.0000 0.0000 0.5000
0.0000 0.5000 0.0000
0.0000 0.0000 0.0000
0.5000 0.5000 0.5000

=====

CePm2HgN, relaxed, DFT GGA-PBE; ΔE_f (raw) = -3.832 eV per formula unit
1.0
4.8172 0.0000 0.0000
0.0000 5.0076 0.0000
0.0000 0.0000 5.0076
Ce Hg Pm N
1 1 2 1
Direct
0.5000 0.0000 0.0000
0.5000 0.5000 0.5000
0.0000 0.5000 0.0000
0.0000 0.0000 0.5000
0.0000 0.0000 0.0000

=====

RbAlCl4, relaxed, DFT GGA-PBE; ΔE_f (raw) = -10.608 eV per formula unit
1.0
-2.2008 -6.2392 5.1592
3.3436 -1.8096 -7.4790
7.1953 -3.9309 1.7787
Rb Al Cl
2 2 8
Direct
0.8750 0.6250 0.2500
0.1250 0.3750 0.7500
0.3750 0.1250 0.2500
0.6250 0.8750 0.7500
0.6968 0.2771 0.0804
0.7771 0.8574 0.9196
0.2229 0.1425 0.0804
0.7771 0.1967 0.5804
0.2229 0.8032 0.4196
0.3032 0.7229 0.9196
0.3575 0.2771 0.4196
0.6425 0.7229 0.5804

=====

OsCS2, relaxed, DFT GGA-PBE; ΔE_f (raw) = 4.315 eV per formula unit
1.0
5.1392 0.0000 0.0000
0.0000 5.1392 0.0000
2.5696 2.5696 4.2521
S C Os
4 2 2
Direct
0.1678 0.6250 0.2500
0.3750 0.4178 0.7500
0.8750 0.8322 0.7500
0.5822 0.1250 0.2500
0.2500 0.7500 0.5000
0.5000 0.5000 0.0000
0.7500 0.2500 0.5000
0.0000 0.0000 0.0000

=====

Ca2AsPb, relaxed, DFT GGA-PBE; DFT formation energy = -2.953 eV/f.u.; energy above the most stable polymorph in this dataset = 0.0 meV/atom
1.0
-1.5741 -1.8828 3.0305
-0.6815 -3.0909 -2.2779
6.3665 -2.6346 1.6701
Pb Ca As
1 2 1
Direct
0.5000 0.5000 0.2500
0.0000 0.0000 0.5340
0.0000 0.0000 0.9660
0.5000 0.5000 0.7500

=====

BeBiSe2, relaxed, DFT GGA-PBE; energy above the most stable polymorph in this dataset = 110.6 meV/atom; ΔE_f (raw) = -0.702 eV per formula unit
1.0
2.0079 0.0000 8.5404
-1.0039 1.7389 8.5404
-1.0039 -1.7389 8.5404
Bi Be Se
1 1 2
Direct
0.0000 0.0000 0.0000
0.5000 0.5000 0.5000
0.8854 0.8854 0.8854
0.1146 0.1146 0.1146

=====

ReTcPd2, relaxed, DFT GGA-PBE; DFT formation energy = 6.656 eV/f.u.; energy above the most stable polymorph in this dataset = 1057.4 meV/atom
1.0
-0.4284 -5.3549 -1.5298
4.8777 0.3797 -2.6950
4.9382 -4.0451 2.5793
Re Pd Tc
2 4 2
Direct
0.7500 0.2500 0.5000
0.0000 0.0000 0.0000
0.3750 0.3749 0.7500
0.6251 0.1250 0.2500
0.8750 0.8751 0.7500
0.1249 0.6250 0.2500
0.2500 0.7500 0.5000
0.5000 0.5000 0.0000

=====

Tm4PRhSe2, relaxed, DFT GGA-PBE; ΔE_f (raw) = -11.561 eV per formula unit
1.0
-3.6223 0.2148 1.5630
2.7012 -0.8108 6.3717
-0.2306 6.8919 -1.4814
Tm Rh P Se
4 1 1 2
Direct
0.5000 0.7533 0.7743
0.0000 0.2612 0.7742
0.0000 0.7388 0.2258
0.5000 0.2467 0.2257
0.5000 0.5000 0.0000
0.0000 0.0000 0.0000
0.0000 0.5000 0.5000
0.5000 0.0000 0.5000

=====

Hf3VPt, relaxed, DFT GGA-PBE; DFT formation energy = 3.036 eV/f.u.; energy above the most stable polymorph in this dataset = 32.6 meV/atom
1.0
4.7441 0.0000 0.0000
0.0000 4.7441 0.0000
0.0000 0.0000 4.7441
Hf Pt V
3 1 1
Direct
0.0000 0.0000 0.5000
0.0000 0.5000 0.0000
0.5000 0.0000 0.0000
0.5000 0.5000 0.5000
0.0000 0.0000 0.0000

=====

Ho2ErGa2Rh5, relaxed, DFT GGA-PBE; DFT formation energy = -8.554 eV/f.u.
1.0
-1.3957 -2.3784 -2.2895
-1.1631 -6.5206 7.4827
-9.1305 3.6568 1.7674
Ga Rh Ho Er
4 10 4 2
Direct
0.0000 0.3765 0.1235
0.0000 0.1235 0.6235
0.0000 0.6235 0.8765
0.0000 0.8765 0.3765
0.5000 0.7889 0.9288
0.5000 0.0712 0.7889
0.5000 0.5712 0.7111
0.5000 0.2889 0.5712
0.5000 0.7111 0.4288
0.5000 0.9288 0.2111
0.5000 0.4288 0.2889
0.5000 0.2111 0.0712
0.5000 0.0000 0.5000
0.5000 0.5000 0.0000
0.0000 0.3272 0.8272
0.0000 0.6728 0.1728
0.0000 0.1728 0.3272
0.0000 0.8272 0.6728
0.0000 0.0000 0.0000
0.0000 0.5000 0.5000

=====

no.,magnetization (μB per formula unit)
1,0.0
2,0.0
3,0.0
4,0.5
5,0.0
6,0.0
7,0.0
8,0.0
9,0.0
10,0.0
11,0.0
12,0.0